VASP calculation (PBE) on a relaxed AcScBiO6 crystal.

Cell lengths 5.631, 5.631, 5.316 Å; angles 90.00, 90.00, 120.00 degrees
Fractional coordinates of all 9 atoms:
Ac (0.000, 0.000, 0.000)
Sc (0.333, 0.667, 0.500)
Bi (0.667, 0.333, 0.500)
O (0.001, 0.365, 0.718)
O (0.001, 0.636, 0.282)
O (0.364, 0.365, 0.282)
O (0.364, 0.999, 0.718)
O (0.635, 0.636, 0.718)
O (0.635, 0.999, 0.282)

Values from the calculation:
As for the crystal system: trigonal. As for the energy relative to the elements, uncorrected: -49.796 kcal/mol of atoms. Its symmetry is P312, No. 149.

=====

VASP calculation (PBE) on a relaxed HgSb crystal.

Cell lengths 6.828, 6.828, 8.445 Å; angles 113.61, 113.61, 27.38 degrees
Fractional coordinates of all 6 atoms:
Hg (0.000, 0.000, 0.000)
Hg (0.505, 0.505, 0.495)
Hg (0.834, 0.834, 0.172)
Sb (0.177, 0.177, 0.829)
Sb (0.339, 0.339, 0.669)
Sb (0.663, 0.663, 0.323)

Values from the calculation:
As for the crystal system: monoclinic. As for the energy relative to the elements, uncorrected: 2.600 kcal/mol of atoms. Its symmetry is Cm, No. 8. For the distance to the lowest polymorph of the same formula, the calculation gives 1.93 kcal/mol of atoms.

=====

VASP calculation (PBE) on a relaxed Mg3VN crystal.

Cell lengths 5.364, 5.364, 5.364 Å; angles 90.00, 90.00, 90.00 degrees
Fractional coordinates of all 5 atoms:
Mg (0.000, 0.000, 0.500)
Mg (0.000, 0.500, 0.000)
Mg (0.500, 0.000, 0.000)
V (0.000, 0.000, 0.000)
N (0.500, 0.500, 0.500)

Values from the calculation:
As for the crystal system: cubic. As for the energy relative to the elements, uncorrected: 42.171 kcal/mol of atoms. Its symmetry is Pm-3m, No. 221. For the distance to the lowest polymorph of the same formula, the calculation gives 38.31 kcal/mol of atoms.

=====

VASP calculation (PBE) on a relaxed Dy5Ho4Th crystal.

Cell lengths 6.458, 6.458, 10.269 Å; angles 90.65, 90.65, 49.63 degrees
Fractional coordinates of all 10 atoms:
Dy (0.000, 0.000, 0.000)
Dy (0.305, 0.305, 0.934)
Dy (0.308, 0.308, 0.562)
Dy (0.692, 0.692, 0.438)
Dy (0.695, 0.695, 0.066)
Ho (0.174, 0.174, 0.250)
Ho (0.453, 0.453, 0.249)
Ho (0.547, 0.547, 0.751)
Ho (0.826, 0.826, 0.750)
Th (0.000, 0.000, 0.500)

Values from the calculation:
As for the crystal system: monoclinic. Its symmetry is C2/m, No. 12. As for the formation energy from the elements: 1.94 eV per formula unit. For the distance to the lowest polymorph of the same formula, the calculation gives 0.00 kcal/mol of atoms.

=====

VASP calculation (PBE) on a relaxed AcPm2Tc crystal.

Cell lengths 3.590, 3.590, 9.544 Å; angles 90.00, 90.00, 90.00 degrees
Fractional coordinates of all 4 atoms:
Ac (0.000, 0.000, 0.000)
Pm (0.500, 0.500, 0.324)
Pm (0.500, 0.500, 0.676)
Tc (0.000, 0.000, 0.500)

Values from the calculation:
As for the crystal system: tetragonal. Its symmetry is P4/mmm, No. 123. As for the formation energy from the elements: 0.55 eV per formula unit. For the distance to the lowest polymorph of the same formula, the calculation gives 2.23 kcal/mol of atoms.

=====

VASP calculation (PBE) on a relaxed AcCe2In2 crystal.

Cell lengths 6.684, 6.684, 7.698 Å; angles 105.72, 105.72, 76.90 degrees
Fractional coordinates of all 10 atoms:
Ac (0.075, 0.925, 0.750)
Ac (0.925, 0.075, 0.250)
Ce (0.340, 0.473, 0.069)
Ce (0.473, 0.340, 0.569)
Ce (0.527, 0.660, 0.431)
Ce (0.660, 0.527, 0.931)
In (0.015, 0.579, 0.334)
In (0.421, 0.985, 0.166)
In (0.579, 0.015, 0.834)
In (0.985, 0.421, 0.666)

Values from the calculation:
As for the crystal system: monoclinic. Its symmetry is C2/c, No. 15. As for the formation energy from the elements: -1.39 eV per formula unit. For the distance to the lowest polymorph of the same formula, the calculation gives 0.00 kcal/mol of atoms.

=====

VASP calculation (PBE) on a relaxed BaZrSb2 crystal.

Cell lengths 7.377, 7.377, 7.377 Å; angles 112.01, 112.01, 104.51 degrees
Fractional coordinates of all 8 atoms:
Ba (0.000, 0.000, 0.000)
Ba (0.750, 0.250, 0.500)
Zr (0.250, 0.750, 0.500)
Zr (0.500, 0.500, 0.000)
Sb (0.186, 0.125, 0.561)
Sb (0.375, 0.814, 0.939)
Sb (0.564, 0.625, 0.439)
Sb (0.875, 0.436, 0.061)

Values from the calculation:
As for the crystal system: tetragonal. As for the energy relative to the elements, uncorrected: -11.984 kcal/mol of atoms. Its symmetry is I-42d, No. 122. For the distance to the lowest polymorph of the same formula, the calculation gives 6.34 kcal/mol of atoms.

=====

VASP calculation (PBE) on a relaxed Hf4Re2Ir crystal.

Cell lengths 5.618, 5.618, 5.618 Å; angles 109.86, 109.86, 108.70 degrees
Fractional coordinates of all 7 atoms:
Hf (0.000, 0.000, 0.500)
Hf (0.000, 0.500, 0.000)
Hf (0.500, 0.000, 0.000)
Hf (0.500, 0.500, 0.500)
Re (0.000, 0.500, 0.500)
Re (0.500, 0.000, 0.500)
Ir (0.000, 0.000, 0.000)

Values from the calculation:
As for the crystal system: tetragonal. Its symmetry is I4/mmm, No. 139. As for the formation energy from the elements: -2.77 eV per formula unit.

=====

VASP calculation (PBE) on a relaxed Li4Hf3NpSe8 crystal.

Cell lengths 7.929, 7.929, 7.929 Å; angles 57.59, 57.59, 57.59 degrees
Fractional coordinates of all 16 atoms:
Li (0.000, 0.000, 0.000)
Li (0.000, 0.500, 0.500)
Li (0.500, 0.000, 0.500)
Li (0.500, 0.500, 0.000)
Hf (0.000, 0.000, 0.500)
Hf (0.000, 0.500, 0.000)
Hf (0.500, 0.000, 0.000)
Np (0.500, 0.500, 0.500)
Se (0.236, 0.758, 0.758)
Se (0.242, 0.242, 0.764)
Se (0.242, 0.764, 0.242)
Se (0.248, 0.248, 0.248)
Se (0.752, 0.752, 0.752)
Se (0.758, 0.236, 0.758)
Se (0.758, 0.758, 0.236)
Se (0.764, 0.242, 0.242)

Values from the calculation:
As for the crystal system: trigonal. As for the energy relative to the elements, uncorrected: -28.646 kcal/mol of atoms. Its symmetry is R-3m, No. 166.

=====

VASP calculation (PBE) on a relaxed La3Tl crystal.

Cell lengths 11.583, 11.583, 11.583 Å; angles 18.63, 18.63, 18.63 degrees
Fractional coordinates of all 4 atoms:
La (0.000, 0.000, 0.000)
La (0.246, 0.246, 0.246)
La (0.754, 0.754, 0.754)
Tl (0.500, 0.500, 0.500)

Values from the calculation:
As for the crystal system: trigonal. Its symmetry is R-3m, No. 166. As for the formation energy from the elements: -0.49 eV per formula unit. For the distance to the lowest polymorph of the same formula, the calculation gives 2.78 kcal/mol of atoms.

=====

VASP calculation (PBE) on a relaxed BaNaMo3 crystal.

Cell lengths 5.035, 5.035, 5.035 Å; angles 90.00, 90.00, 90.00 degrees
Fractional coordinates of all 5 atoms:
Ba (0.000, 0.000, 0.000)
Na (0.500, 0.500, 0.500)
Mo (0.000, 0.500, 0.500)
Mo (0.500, 0.000, 0.500)
Mo (0.500, 0.500, 0.000)

Values from the calculation:
As for the crystal system: cubic. Its symmetry is Pm-3m, No. 221. As for the formation energy from the elements: 12.47 eV per formula unit. For the distance to the lowest polymorph of the same formula, the calculation gives 0.00 kcal/mol of atoms.

=====

VASP calculation (PBE) on a relaxed CaLa5AlGa2 crystal.

Cell lengths 7.722, 7.722, 9.786 Å; angles 90.00, 90.00, 90.00 degrees
Fractional coordinates of all 18 atoms:
Ca (0.000, 0.000, 0.000)
Ca (0.500, 0.500, 0.000)
La (0.000, 0.000, 0.500)
La (0.192, 0.308, 0.258)
La (0.192, 0.308, 0.742)
La (0.308, 0.808, 0.258)
La (0.308, 0.808, 0.742)
La (0.500, 0.500, 0.500)
La (0.692, 0.192, 0.258)
La (0.692, 0.192, 0.742)
La (0.808, 0.692, 0.258)
La (0.808, 0.692, 0.742)
Al (0.000, 0.500, 0.000)
Al (0.500, 0.000, 0.000)
Ga (0.113, 0.613, 0.500)
Ga (0.387, 0.113, 0.500)
Ga (0.613, 0.887, 0.500)
Ga (0.887, 0.387, 0.500)

Values from the calculation:
As for the crystal system: tetragonal. Its symmetry is P4/mbm, No. 127. As for the formation energy from the elements: -2.20 eV per formula unit.

=====

VASP calculation (PBE) on a relaxed TbEr2Pb crystal.

Cell lengths 6.600, 6.600, 9.336 Å; angles 90.00, 90.00, 142.45 degrees
Fractional coordinates of all 8 atoms:
Tb (0.056, 0.944, 0.750)
Tb (0.944, 0.056, 0.250)
Er (0.368, 0.632, 0.554)
Er (0.368, 0.632, 0.946)
Er (0.632, 0.368, 0.054)
Er (0.632, 0.368, 0.446)
Pb (0.247, 0.753, 0.250)
Pb (0.753, 0.247, 0.750)

Values from the calculation:
As for the crystal system: orthorhombic. Its symmetry is Cmcm, No. 63. As for the formation energy from the elements: -0.92 eV per formula unit. For the distance to the lowest polymorph of the same formula, the calculation gives 1.37 kcal/mol of atoms.

=====

VASP calculation (PBE) on a relaxed Be3Fe5 crystal.

Cell lengths 4.824, 4.824, 3.500 Å; angles 90.00, 90.00, 98.79 degrees
Fractional coordinates of all 8 atoms:
Be (0.000, 0.000, 0.000)
Be (0.265, 0.735, 0.500)
Be (0.735, 0.265, 0.500)
Fe (0.000, 0.500, 0.000)
Fe (0.228, 0.228, 0.500)
Fe (0.500, 0.000, 0.000)
Fe (0.500, 0.500, 0.000)
Fe (0.772, 0.772, 0.500)

Values from the calculation:
As for the crystal system: orthorhombic. Its symmetry is Cmmm, No. 65. As for the formation energy from the elements: -0.80 eV per formula unit. For the distance to the lowest polymorph of the same formula, the calculation gives 0.82 kcal/mol of atoms.

=====

VASP calculation (PBE) on a relaxed Sr3LaMg4 crystal.

Cell lengths 4.121, 4.121, 16.520 Å; angles 90.00, 90.00, 90.00 degrees
Fractional coordinates of all 8 atoms:
Sr (0.000, 0.000, 0.000)
Sr (0.000, 0.000, 0.257)
Sr (0.000, 0.000, 0.743)
La (0.000, 0.000, 0.500)
Mg (0.500, 0.500, 0.128)
Mg (0.500, 0.500, 0.389)
Mg (0.500, 0.500, 0.611)
Mg (0.500, 0.500, 0.872)

Values from the calculation:
As for the crystal system: tetragonal. Its symmetry is P4/mmm, No. 123. As for the formation energy from the elements: -0.51 eV per formula unit.

=====

no.,total DFT energy (no corrections) (eV per cell)
1,-63.50
2,-12.60
3,-13.08
4,-46.80
5,-23.42
6,-45.69
7,-41.59
8,-76.34
9,-98.21
10,-17.64
11,-23.27
12,-77.28
13,-36.77
14,-54.29
15,-16.87